This record from Alexandria via LeMat-Bulk describes crystalline Cd2TcTe at its relaxed geometry. The functional is PBE-GGA.

a b c (Å): 3.0704 3.0704 9.8746
angles (deg): 90.00 90.00 89.93
Element x y z (fractional)
1 Cd 0.0000 0.0000 0.4416
2 Te 0.5000 0.5000 0.7500
3 Tc 0.5000 0.5000 0.2500
4 Cd 0.0000 0.0000 0.0584

Calculated values
magnetization: 1.57 μB/f.u.
SG: P4/mmm



This record from Alexandria via LeMat-Bulk describes crystalline SmTmAu at its relaxed geometry. The functional is PBE-GGA.

a b c (Å): 4.9647 8.9178 7.2231
angles (deg): 90.00 90.00 90.00
Element x y z (fractional)
1 Sm 0.7500 0.1770 0.5138
2 Tm 0.2500 0.4201 0.3523
3 Sm 0.7500 0.3230 0.0138
4 Au 0.2500 0.4005 0.7481
5 Sm 0.2500 0.6770 0.9862
6 Sm 0.2500 0.8230 0.4862
7 Tm 0.7500 0.5799 0.6477
8 Au 0.7500 0.9005 0.7519
9 Au 0.2500 0.0995 0.2481
10 Tm 0.7500 0.9201 0.1477
11 Tm 0.2500 0.0799 0.8523
12 Au 0.7500 0.5995 0.2519

Calculated values
E_form: -1.88 eV/f.u.
magnetization: 0.00 μB/f.u.
energy relative to the lowest polymorph listed for this composition: 0.0 meV per atom
SG: Pnma



This record from Alexandria via LeMat-Bulk describes crystalline GaHg2Se at its relaxed geometry. The functional is PBE-GGA.

a b c (Å): 5.1707 5.1707 5.1707
angles (deg): 60.00 60.00 60.00
Element x y z (fractional)
1 Se 0.5000 0.5000 0.5000
2 Hg 0.7500 0.7500 0.7500
3 Ga 0.0000 0.0000 0.0000
4 Hg 0.2500 0.2500 0.2500

Calculated values
magnetization: 0.00 μB/f.u.
energy relative to the lowest polymorph listed for this composition: 60.7 meV per atom
SG: Fm-3m



This record from Alexandria via LeMat-Bulk describes crystalline La3PrSm2P6 at its relaxed geometry. The functional is PBE-GGA.

a b c (Å): 7.2872 7.2872 7.2914
angles (deg): 99.58 99.58 120.00
Element x y z (fractional)
1 P 0.2551 0.2551 0.7561
2 Sm 0.6668 0.3332 0.0000
3 La 0.1663 0.8337 0.5000
4 P 0.4178 0.0814 0.2442
5 P 0.7449 0.7449 0.2439
6 La 0.8337 0.1663 0.5000
7 P 0.0814 0.4178 0.2442
8 La 0.5000 0.5000 0.5000
9 Pr 0.0000 0.0000 0.0000
10 P 0.5822 0.9186 0.7558
11 P 0.9186 0.5822 0.7558
12 Sm 0.3332 0.6668 0.0000

Calculated values
E_form: -18.73 eV/f.u.
magnetization: 0.00 μB/f.u.
SG: C2/m



This record from Alexandria via LeMat-Bulk describes crystalline NdLuCdPb at its relaxed geometry. The functional is PBE-GGA.

a b c (Å): 5.3789 5.3789 5.3789
angles (deg): 60.00 60.00 60.00
Element x y z (fractional)
1 Nd 0.0000 0.0000 0.0000
2 Cd 0.7500 0.7500 0.7500
3 Lu 0.5000 0.5000 0.5000
4 Pb 0.2500 0.2500 0.2500

Calculated values
E_form: -1.43 eV/f.u.
magnetization: 0.00 μB/f.u.
SG: F-43m



This record from Alexandria via LeMat-Bulk describes crystalline NdDyMgNi at its relaxed geometry. The functional is PBE-GGA.

a b c (Å): 5.1373 5.1373 5.1373
angles (deg): 60.00 60.00 60.00
Element x y z (fractional)
1 Mg 0.0000 0.0000 0.0000
2 Dy 0.7500 0.7500 0.7500
3 Ni 0.5000 0.5000 0.5000
4 Nd 0.2500 0.2500 0.2500

Calculated values
E_form: -0.29 eV/f.u.
magnetization: 0.00 μB/f.u.
SG: F-43m



V: 93; 320; 98; 316; 110; 96 (Å³ per cell)
E: -13.62; -14.35; -6.72; -80.19; -15.34; -17.03 (eV per formula unit)
Density of states at the Fermi level: 3.32; 3.16; 2.06; 1.00; 3.47; 3.57 (states/eV/f.u.)